# 1
This record from Alexandria via LeMat-Bulk describes a relaxed structure of Ta2RePt. The functional is PBE.

Properties
Total magnetic moment   0.0 μB per formula unit
Space group   R3m, No. 160
Total DFT energy (no corrections)   -10.53 eV/atom
Energy relative to the elements   20 meV/atom
Density   18.41 g/cm3
DOS(E_F)   3.90 states/eV/f.u.

a b c (Å): 9.8241 9.8241 9.8241
angles (deg): 16.54 16.54 16.54
With the nearest neighbours (Å) after each atom.
Atoms (fractional coordinates):
Ta: 0.0025 0.0025 0.0025  9 Ta 2.83-3.08, 3 Re 2.93
Ta: 0.2458 0.2458 0.2458  9 Ta 2.83-3.08, 3 Pt 2.85
Re: 0.7530 0.7530 0.7530  3 Pt 2.82, 6 Re 2.83, 3 Ta 2.93
Pt: 0.4988 0.4988 0.4988  3 Re 2.82, 6 Pt 2.83, 3 Ta 2.85


# 2
This record from Alexandria via LeMat-Bulk describes a relaxed structure of GaTc3C. The functional is PBE.

Properties
Total magnetic moment   0.0 μB per formula unit
Space group   Pm-3m, No. 221
Total DFT energy (no corrections)   -8.57 eV/atom
Energy relative to the elements   104 meV/atom
Density   9.26 g/cm3
DOS(E_F)   5.27 states/eV/f.u.

a b c (Å): 4.0694 4.0694 4.0694
angles (deg): 90.00 90.00 90.00
With the nearest neighbours (Å) after each atom.
Atoms (fractional coordinates):
Tc: 0.0000 0.0000 0.5000  2 C 2.03
Tc: 0.0000 0.5000 0.0000  2 C 2.03
Tc: 0.5000 0.0000 0.0000  2 C 2.03
C: 0.0000 0.0000 0.0000  6 Tc 2.03
Ga: 0.5000 0.5000 0.5000  12 Tc 2.88


# 3
This record from Alexandria via LeMat-Bulk describes a relaxed structure of MgInBi2. The functional is PBE.

Properties
Total magnetic moment   0.0 μB per formula unit
Space group   I-42d, No. 122
Total DFT energy (no corrections)   -2.95 eV/atom
Energy relative to the elements   72 meV/atom
Density   5.98 g/cm3
DOS(E_F)   2.40 states/eV/f.u.

a b c (Å): 6.9222 6.9222 8.1019
angles (deg): 64.71 64.71 90.00
With the nearest neighbours (Å) after each atom.
Atoms (fractional coordinates):
In: 0.0000 0.0000 0.0000  4 Bi 2.95
In: 0.7500 0.2500 0.5000  4 Bi 2.95
Bi: 0.6217 0.1250 0.2500  2 Mg 2.92, 2 In 2.95
Bi: 0.1283 0.6250 0.2500  2 Mg 2.92, 2 In 2.95
Bi: 0.8750 0.8717 0.7500  2 Mg 2.92, 2 In 2.95
Bi: 0.3750 0.3783 0.7500  2 Mg 2.92, 2 In 2.95
Mg: 0.2500 0.7500 0.5000  4 Bi 2.92
Mg: 0.5000 0.5000 0.0000  4 Bi 2.92


- Among the records above, which one has the lowest density?
  MgInBi2


- What is the density in the first record?
  18.41 g/cm3